# Ag4Se2Br (PBE, optimized geometry)
data_Ag4Se2Br
_cell_length_a 8.071
_cell_length_b 8.074
_cell_length_c 8.078
_cell_angle_alpha 120.59
_cell_angle_beta 119.27
_cell_angle_gamma 90.21
_symmetry_space_group_name_H-M 'P 1'
_symmetry_Int_Tables_number 1
loop_
_symmetry_equiv_pos_as_xyz
'x,y,z'
loop_
_atom_site_label
_atom_site_type_symbol
_atom_site_fract_x
_atom_site_fract_y
_atom_site_fract_z
Ag1 Ag 0.861 0.140 0.278
Ag2 Ag 0.389 0.610 0.222
Ag3 Ag 0.862 0.583 0.721
Ag4 Ag 0.861 0.139 0.723
Ag5 Ag 0.416 0.138 0.277
Ag6 Ag 0.388 0.167 0.778
Ag7 Ag 0.389 0.611 0.777
Ag8 Ag 0.834 0.612 0.223
Se1 Se 0.625 0.375 0.750
Se2 Se 0.625 0.875 0.250
Se3 Se 0.625 0.375 0.250
Se4 Se 0.125 0.375 0.750
Br1 Br 0.248 0.748 0.500
Br2 Br 0.002 0.002 0.000
# energy relative to the elements, uncorrected	-0.0515	eV/atom
# space-group type	P-1, No. 2
# ΔE to the lowest computed polymorph	1.169	kcal/mol of atoms
# V	26.594	Å³ per atom